First-principles (PBE with a Hubbard U) data for crystalline GaWOF2 at its relaxed geometry, as listed in Alexandria via LeMat-Bulk.

abc: 4.0779 4.0779 4.1079
angles: 90.00 90.00 90.00
Space group P4/mmm (No. 123)
Symmetry-distinct sites (fractional):
Ga 0.0000 0.0000 0.0000 [1 per cell]
W 0.5000 0.5000 0.5000 [1 per cell]
O 0.0000 0.0000 0.5000 [1 per cell]
F 0.0000 0.5000 0.0000 [2 per cell]

Summary:
Excess energy over the best structure of this formula in the dataset (meV/atom): 643
Size of the total moment (μB per cell): 4.5
ρ (g/cm3): 7.48